(1)
Material: Y4SbPS2
Method: DFT, PBE
State: optimized geometry

Formation energy (no corrections)   -1.678 eV/atom
DOS at the Fermi energy   3.21 states/eV per cell

Cell lengths 7.0028, 4.0652, 7.1210 Å; angles 90.00, 109.52, 90.00 degrees
Space group P2/m (No. 10)
Unique sites:
Y: 0.2370 0.0000 0.2276 x2
Y: 0.2497 0.5000 0.7653 x2
Sb: 0.5000 0.5000 0.5000 x1
P: 0.5000 0.0000 0.0000 x1
S: 0.0000 0.0000 0.5000 x1
S: 0.0000 0.5000 0.0000 x1

***

(2)
Material: YSbPS2
Method: DFT, PBE
State: optimized geometry

Distance to the lowest polymorph of the same formula   212 meV/atom
Formation energy (no corrections)   0.068 eV/atom
DOS at the Fermi energy   5.27 states/eV per cell

Cell lengths 5.1230, 5.1230, 5.3870 Å; angles 90.00, 90.00, 90.00 degrees
Space group P4/mmm (No. 123)
Unique sites:
Y: 0.0000 0.0000 0.0000 x1
Sb: 0.5000 0.5000 0.5000 x1
P: 0.0000 0.0000 0.5000 x1
S: 0.0000 0.5000 0.0000 x2